# 1
Entry from Alexandria via LeMat-Bulk: crystalline Sm5Sb3H at its relaxed geometry (PBE-GGA).

CIF file:
```
data_Sm5Sb3H
_chemical_formula_sum 'Sm10 Sb6 H2'
_cell_length_a 9.190
_cell_length_b 9.190
_cell_length_c 6.368
_cell_angle_alpha 90.00
_cell_angle_beta 90.00
_cell_angle_gamma 120.00
_space_group_name_H-M_alt 'P 1'
_space_group_IT_number 1
loop_
_space_group_symop_operation_xyz
'x,y,z'
loop_
_atom_site_label
_atom_site_fract_x
_atom_site_fract_y
_atom_site_fract_z
Sm1 0.254 0.254 0.750
H1 0.000 0.000 0.000
Sb1 0.386 0.386 0.250
Sm2 0.000 0.254 0.250
Sb2 0.000 0.614 0.250
Sm3 0.333 0.667 0.500
Sm4 0.667 0.333 0.000
Sb3 0.000 0.386 0.750
Sb4 0.386 0.000 0.750
Sb5 0.614 0.000 0.250
Sb6 0.614 0.614 0.750
Sm5 0.746 0.746 0.250
Sm6 0.000 0.746 0.750
Sm7 0.254 0.000 0.250
Sm8 0.746 0.000 0.750
H2 0.000 0.000 0.500
Sm9 0.333 0.667 0.000
Sm10 0.667 0.333 0.500
```

Computed properties:
Its calculated total energy is -5.29 eV per atom. As for the symmetry: P6_3/mcm (193). The calculated density comes out at 7.97 Mg/m³.

---

# 2
Entry from Alexandria via LeMat-Bulk: crystalline Sm3SbH2 at its relaxed geometry (PBE-GGA).

CIF file:
```
data_Sm3SbH2
_chemical_formula_sum 'Sm6 Sb2 H4'
_cell_length_a 4.080
_cell_length_b 6.287
_cell_length_c 11.559
_cell_angle_alpha 107.53
_cell_angle_beta 100.17
_cell_angle_gamma 90.00
_space_group_name_H-M_alt 'P 1'
_space_group_IT_number 1
loop_
_space_group_symop_operation_xyz
'x,y,z'
loop_
_atom_site_label
_atom_site_fract_x
_atom_site_fract_y
_atom_site_fract_z
Sm1 0.399 0.648 0.798
H1 0.059 0.189 0.117
Sm2 0.042 0.802 0.085
Sm3 0.601 0.352 0.202
Sm4 0.230 0.244 0.460
Sm5 0.958 0.198 0.915
H2 0.291 0.602 0.583
Sm6 0.770 0.756 0.540
Sb1 0.650 0.897 0.301
Sb2 0.350 0.103 0.699
H3 0.709 0.398 0.417
H4 0.941 0.811 0.883
```

Computed properties:
Its calculated total energy is -4.78 eV per atom. As for the symmetry: C2/m (12). The calculated density comes out at 6.87 Mg/m³.

---

# 3
Entry from Alexandria via LeMat-Bulk: crystalline Sm3Sb2H2 at its relaxed geometry (PBE-GGA).

CIF file:
```
data_Sm3Sb2H2
_chemical_formula_sum 'Sm6 Sb4 H4'
_cell_length_a 8.317
_cell_length_b 7.378
_cell_length_c 6.453
_cell_angle_alpha 90.00
_cell_angle_beta 58.56
_cell_angle_gamma 90.00
_space_group_name_H-M_alt 'P 1'
_space_group_IT_number 1
loop_
_space_group_symop_operation_xyz
'x,y,z'
loop_
_atom_site_label
_atom_site_fract_x
_atom_site_fract_y
_atom_site_fract_z
H1 0.169 0.140 0.649
Sm1 0.204 0.440 0.649
Sm2 0.796 0.560 0.351
H2 0.331 0.640 0.351
Sm3 0.296 0.940 0.351
Sb1 0.119 0.286 0.234
Sb2 0.881 0.714 0.766
H3 0.831 0.860 0.351
Sm4 0.000 0.000 0.000
H4 0.669 0.360 0.649
Sm5 0.500 0.500 0.000
Sm6 0.704 0.060 0.649
Sb3 0.381 0.786 0.766
Sb4 0.619 0.214 0.234
```

Computed properties:
Its calculated total energy is -4.94 eV per atom. As for the symmetry: P2_1/c (14). The calculated density comes out at 6.85 Mg/m³.

---

# 4
Entry from Alexandria via LeMat-Bulk: crystalline Sm3Sb2H at its relaxed geometry (PBE-GGA).

CIF file:
```
data_Sm3Sb2H
_chemical_formula_sum 'Sm6 Sb4 H2'
_cell_length_a 6.217
_cell_length_b 8.723
_cell_length_c 7.311
_cell_angle_alpha 107.13
_cell_angle_beta 115.16
_cell_angle_gamma 90.00
_space_group_name_H-M_alt 'P 1'
_space_group_IT_number 1
loop_
_space_group_symop_operation_xyz
'x,y,z'
loop_
_atom_site_label
_atom_site_fract_x
_atom_site_fract_y
_atom_site_fract_z
H1 0.061 0.250 0.000
Sb1 0.331 0.915 0.654
Sm1 0.160 0.580 0.312
Sm2 0.442 0.250 0.000
Sm3 0.840 0.420 0.688
Sm4 0.152 0.080 0.312
Sm5 0.558 0.750 0.000
Sb2 0.677 0.585 0.346
Sb3 0.669 0.085 0.346
H2 0.939 0.750 0.000
Sm6 0.848 0.920 0.688
Sb4 0.323 0.415 0.654
```

Computed properties:
Its calculated total energy is -5.03 eV per atom. As for the symmetry: C2/c (15). The calculated density comes out at 6.81 Mg/m³.

---

# 5
Entry from Alexandria via LeMat-Bulk: crystalline Sm4TlSbH at its relaxed geometry (PBE-GGA).

CIF file:
```
data_Sm4TlSbH
_chemical_formula_sum 'Sm8 Tl2 Sb2 H2'
_cell_length_a 6.513
_cell_length_b 6.545
_cell_length_c 9.246
_cell_angle_alpha 90.00
_cell_angle_beta 110.62
_cell_angle_gamma 90.00
_space_group_name_H-M_alt 'P 1'
_space_group_IT_number 1
loop_
_space_group_symop_operation_xyz
'x,y,z'
loop_
_atom_site_label
_atom_site_fract_x
_atom_site_fract_y
_atom_site_fract_z
Sm1 0.500 0.000 0.500
H1 0.292 0.750 0.584
Sm2 0.000 0.000 0.500
Sm3 0.000 0.500 0.500
Tl1 0.888 0.750 0.777
Sb1 0.613 0.750 0.225
H2 0.708 0.250 0.416
Sb2 0.387 0.250 0.775
Sm4 0.572 0.250 0.144
Sm5 0.428 0.750 0.856
Sm6 0.929 0.250 0.858
Sm7 0.500 0.500 0.500
Sm8 0.071 0.750 0.142
Tl2 0.112 0.250 0.223
```

Computed properties:
Its calculated total energy is -4.70 eV per atom. As for the symmetry: Cmcm (63). The calculated density comes out at 8.36 Mg/m³.

---

# 6
Entry from Alexandria via LeMat-Bulk: crystalline SnSbH at its relaxed geometry (PBE-GGA).

CIF file:
```
data_SnSbH
_chemical_formula_sum 'Sn2 Sb2 H2'
_cell_length_a 4.665
_cell_length_b 4.668
_cell_length_c 6.786
_cell_angle_alpha 86.74
_cell_angle_beta 86.65
_cell_angle_gamma 81.94
_space_group_name_H-M_alt 'P 1'
_space_group_IT_number 1
loop_
_space_group_symop_operation_xyz
'x,y,z'
loop_
_atom_site_label
_atom_site_fract_x
_atom_site_fract_y
_atom_site_fract_z
H1 0.686 0.633 0.106
H2 0.929 0.869 0.390
Sb1 0.447 0.383 0.675
Sn1 0.865 0.800 0.663
Sn2 0.970 0.917 0.093
Sb2 0.411 0.356 0.101
```

Computed properties:
Its calculated total energy is -3.64 eV per atom. As for the symmetry: P1 (1). The calculated density comes out at 5.50 Mg/m³. The calculation puts the relative energy among the computed polymorphs at 130.4 meV/atom.

---

# 7
Entry from Alexandria via LeMat-Bulk: crystalline SnSbH at its relaxed geometry (PBE-GGA).

CIF file:
```
data_SnSbH
_chemical_formula_sum 'Sn4 Sb4 H4'
_cell_length_a 5.696
_cell_length_b 4.412
_cell_length_c 12.534
_cell_angle_alpha 90.00
_cell_angle_beta 97.87
_cell_angle_gamma 90.00
_space_group_name_H-M_alt 'P 1'
_space_group_IT_number 1
loop_
_space_group_symop_operation_xyz
'x,y,z'
loop_
_atom_site_label
_atom_site_fract_x
_atom_site_fract_y
_atom_site_fract_z
H1 0.552 0.000 0.614
Sb1 0.712 0.000 0.505
H2 0.552 0.500 0.114
H3 0.864 0.000 0.771
Sn1 0.145 0.000 0.848
Sn2 0.031 0.500 0.567
Sb2 0.389 0.500 0.764
Sb3 0.712 0.500 0.005
H4 0.864 0.500 0.271
Sn3 0.031 0.000 0.067
Sb4 0.389 0.000 0.264
Sn4 0.145 0.500 0.348
```

Computed properties:
Its calculated total energy is -3.65 eV per atom. As for the symmetry: Cm (8). The calculated density comes out at 5.14 Mg/m³. The calculation puts the relative energy among the computed polymorphs at 118.9 meV/atom.

---

# 8
Entry from Alexandria via LeMat-Bulk: crystalline Sn2SbH at its relaxed geometry (PBE-GGA).

CIF file:
```
data_Sn2SbH
_chemical_formula_sum 'Sn4 Sb2 H2'
_cell_length_a 5.694
_cell_length_b 5.694
_cell_length_c 7.641
_cell_angle_alpha 68.12
_cell_angle_beta 68.12
_cell_angle_gamma 90.00
_space_group_name_H-M_alt 'P 1'
_space_group_IT_number 1
loop_
_space_group_symop_operation_xyz
'x,y,z'
loop_
_atom_site_label
_atom_site_fract_x
_atom_site_fract_y
_atom_site_fract_z
H1 0.250 0.750 0.500
Sn1 0.505 0.125 0.250
H2 0.500 0.500 0.000
Sb1 0.750 0.250 0.500
Sb2 0.000 0.000 0.000
Sn2 0.375 0.495 0.750
Sn3 0.875 0.755 0.750
Sn4 0.245 0.625 0.250
```

Computed properties:
Its calculated total energy is -3.58 eV per atom. As for the symmetry: I-42d (122). The calculated density comes out at 5.68 Mg/m³. The calculation puts the relative energy among the computed polymorphs at 49.7 meV/atom.

---

# 9
Entry from Alexandria via LeMat-Bulk: crystalline SnSbH at its relaxed geometry (PBE-GGA).

CIF file:
```
data_SnSbH
_chemical_formula_sum 'Sn2 Sb2 H2'
_cell_length_a 5.018
_cell_length_b 4.995
_cell_length_c 9.800
_cell_angle_alpha 105.83
_cell_angle_beta 78.76
_cell_angle_gamma 120.33
_space_group_name_H-M_alt 'P 1'
_space_group_IT_number 1
loop_
_space_group_symop_operation_xyz
'x,y,z'
loop_
_atom_site_label
_atom_site_fract_x
_atom_site_fract_y
_atom_site_fract_z
Sb1 0.365 0.573 0.799
Sn1 0.315 0.717 0.112
Sn2 0.685 0.283 0.888
Sb2 0.635 0.427 0.201
H1 0.038 0.513 0.532
H2 0.962 0.487 0.468
```

Computed properties:
Its calculated total energy is -3.77 eV per atom. As for the symmetry: P-1 (2). The calculated density comes out at 3.94 Mg/m³. The calculation puts the relative energy among the computed polymorphs at 0.0 meV/atom.

---

# 10
Entry from Alexandria via LeMat-Bulk: crystalline SnSbH at its relaxed geometry (PBE-GGA).

CIF file:
```
data_SnSbH
_chemical_formula_sum 'Sn1 Sb1 H1'
_cell_length_a 4.459
_cell_length_b 4.461
_cell_length_c 4.612
_cell_angle_alpha 113.68
_cell_angle_beta 118.46
_cell_angle_gamma 95.25
_space_group_name_H-M_alt 'P 1'
_space_group_IT_number 1
loop_
_space_group_symop_operation_xyz
'x,y,z'
loop_
_atom_site_label
_atom_site_fract_x
_atom_site_fract_y
_atom_site_fract_z
Sb1 0.195 0.760 0.585
H1 0.935 0.464 0.028
Sn1 0.697 0.150 0.477
```

Computed properties:
Its calculated total energy is -3.63 eV per atom. As for the symmetry: Cm (8). The calculated density comes out at 5.80 Mg/m³. The calculation puts the relative energy among the computed polymorphs at 144.6 meV/atom.